Density functional theory data (PBE) for TaInCl2 after structural relaxation.

a = 3.1523 Å, b = 3.1523 Å, c = 35.9022 Å
α = 90.00°, β = 90.00°, γ = 120.00°
Space group R-3m (No. 166, hexagonal axes)
Asymmetric unit:
Ta1 0.0000 0.0000 0.0000 x3
In1 0.0000 0.0000 0.5000 x3
Cl1 0.0000 0.0000 0.3834 x6

V (Å³/f.u.): 103.0
Raw total energy (eV per atom): -5.083

***

Density functional theory data (PBE) for TaInCl2 after structural relaxation.

a = 6.102 Å, b = 8.863 Å, c = 3.081 Å
α = 90.00°, β = 90.00°, γ = 90.00°
Space group Cmmm (No. 65)
Asymmetric unit:
Ta1 0.000 0.000 0.000 x2
In1 0.000 0.500 0.000 x2
Cl1 0.250 0.250 0.500 x4

V (Å³/f.u.): 83.3
Raw total energy (eV per atom): -4.204

***

Density functional theory data (PBE) for TaInCl after structural relaxation.

a = 4.7154 Å, b = 4.7154 Å, c = 3.0273 Å
α = 90.00°, β = 90.00°, γ = 120.00°
Space group P-6m2 (No. 187)
Asymmetric unit:
Ta1 0.0000 0.0000 0.0000 x1
In1 0.3333 0.6667 0.5000 x1
Cl1 0.6667 0.3333 0.0000 x1

V (Å³/f.u.): 58.3
Raw total energy (eV per atom): -5.246

***

Which value of raw total energy does entry 3 give?
-5.246 eV per atom

***

What is the raw total energy in the second record?
-4.204 eV per atom

***

Copy entry 3 word for word.
Density functional theory data (PBE) for TaInCl after structural relaxation.

a = 4.7154 Å, b = 4.7154 Å, c = 3.0273 Å
α = 90.00°, β = 90.00°, γ = 120.00°
Space group P-6m2 (No. 187)
Asymmetric unit:
Ta1 0.0000 0.0000 0.0000 x1
In1 0.3333 0.6667 0.5000 x1
Cl1 0.6667 0.3333 0.0000 x1

V (Å³/f.u.): 58.3
Raw total energy (eV per atom): -5.246